(1)
Pm2ErSe3 | PBE | relaxed

Geometry as extended XYZ:
```
6
Lattice="-3.498 1.431 -1.699 -2.709 -5.002 1.365 1.421 4.196 5.662" Properties=species:S:1:pos:R:3 pbc="T T T"
Pm 0.130 2.930 4.729
Pm -4.916 -2.306 0.600
Se -3.613 0.270 0.088
Se -1.173 0.355 5.241
Se -1.039 2.814 1.982
Er -2.393 0.312 2.664
```

Output
The value obtained for the calculated density is 7630 kg/m³. Its space group is No. 71. The value obtained for the raw formation energy is -1.785 eV/atom. For the final energy, the calculation gives -5.872 eV/atom. Its density of states at the Fermi level is 0.4590 states/eV/atom. Its magnetic moment is 0.0000 μB per atom. The crystal system is orthorhombic.

=====

(2)
Ag2TeAs | PBE | relaxed

Geometry as extended XYZ:
```
4
Lattice="-1.387 0.739 2.632 -0.158 -2.968 0.751 8.394 0.628 4.249" Properties=species:S:1:pos:R:3 pbc="T T T"
As 3.705 0.277 1.876
Te 5.781 -0.624 5.008
Ag 1.293 -0.960 2.737
Ag 0.267 0.020 0.135
```

Output
The value obtained for the calculated density is 7838 kg/m³. Its space group is No. 99. The value obtained for the raw formation energy is 0.202 eV/atom. For the final energy, the calculation gives -3.171 eV/atom. Its density of states at the Fermi level is 0.4754 states/eV/atom. Its magnetic moment is 0.0000 μB per atom. The crystal system is tetragonal.

=====

(3)
Ac8Ru3Pt2 | PBE | relaxed

Geometry as extended XYZ:
```
13
Lattice="4.104 8.053 -0.434 -4.104 8.053 -0.434 0.000 3.085 6.676" Properties=species:S:1:pos:R:3 pbc="T T T"
Ac 0.000 8.837 5.872
Ac 0.000 10.354 -0.064
Ac 0.000 17.306 5.360
Ac 2.096 11.731 3.400
Ac 0.000 1.885 0.449
Ac 2.096 7.459 2.409
Ac -2.096 7.459 2.409
Ac -2.096 11.731 3.400
Ru 1.606 8.053 -0.434
Ru 0.000 1.543 3.338
Ru -1.606 8.053 -0.434
Pt 0.000 6.124 4.257
Pt 0.000 13.066 1.551
```

Output
The value obtained for the calculated density is 9214 kg/m³. For the formation enthalpy at 0 K, the calculation gives -0.44 eV/atom. Its space group is No. 12. For the final energy, the calculation gives -6.034 eV/atom. Its density of states at the Fermi level is 0.5545 states/eV/atom. Its magnetic moment is 0.0000 μB per atom. The crystal system is monoclinic.

=====

(4)
LiMn4Ag | PBE | relaxed

Geometry as extended XYZ:
```
6
Lattice="0.000 3.388 3.388 3.388 0.000 3.388 3.388 3.388 0.000" Properties=species:S:1:pos:R:3 pbc="T T T"
Mn 2.534 2.534 2.534
Mn 4.242 2.534 4.242
Mn 4.242 4.242 2.534
Mn 2.534 4.242 4.242
Li 0.000 0.000 0.000
Ag 5.082 5.082 5.082
```

Output
The value obtained for the calculated density is 7143 kg/m³. For the formation enthalpy at 0 K, the calculation gives 0.47 eV/atom. Its space group is No. 216. For the final energy, the calculation gives -6.433 eV/atom. Its density of states at the Fermi level is 1.4578 states/eV/atom. Its magnetic moment is 0.8855 μB per atom. The crystal system is cubic.

=====

(5)
Na2ScBiTe4 | PBE | relaxed

Geometry as extended XYZ:
```
8
Lattice="-1.657 0.025 -4.036 3.722 -6.503 -1.568 -7.182 -1.871 2.937" Properties=species:S:1:pos:R:3 pbc="T T T"
Bi 0.000 0.000 0.000
Te -4.575 -3.231 1.858
Te 1.115 -5.143 -0.489
Te -1.514 -2.111 -1.750
Te -3.603 -6.238 -0.918
Na -4.419 -0.923 -0.550
Na -1.730 -4.187 0.684
Sc 1.032 -3.239 -2.802
```

Output
The value obtained for the calculated density is 5316 kg/m³. Its space group is No. 10. The value obtained for the raw formation energy is -0.856 eV/atom. For the final energy, the calculation gives -4.033 eV/atom. Its magnetic moment is 0.0000 μB per atom. The crystal system is monoclinic.

=====

(6)
NiHg2 | PBE | relaxed

Geometry as extended XYZ:
```
6
Lattice="1.567 -2.715 0.000 1.567 2.715 0.000 0.000 0.000 13.715" Properties=species:S:1:pos:R:3 pbc="T T T"
Hg 1.567 -0.905 0.000
Hg 0.000 0.000 10.867
Hg 0.000 0.000 6.857
Hg 0.000 0.000 2.848
Ni 1.567 -0.905 4.842
Ni 1.567 -0.905 8.873
```

Output
The value obtained for the calculated density is 13087 kg/m³. For the formation enthalpy at 0 K, the calculation gives 0.29 eV/atom. Its space group is No. 187. For the final energy, the calculation gives -1.840 eV/atom. Its density of states at the Fermi level is 0.8909 states/eV/atom. Its magnetic moment is 0.0000 μB per atom. The crystal system is hexagonal.

=====

(7)
Mn2RhPb | PBE | relaxed

Geometry as extended XYZ:
```
4
Lattice="-0.454 -8.133 3.934 2.212 -8.447 2.363 2.206 -7.092 5.163" Properties=species:S:1:pos:R:3 pbc="T T T"
Rh 2.973 -17.754 8.595
Pb 0.991 -5.918 2.865
Mn 1.936 -11.562 5.597
Mn 0.046 -0.274 0.133
```

Output
The value obtained for the calculated density is 9388 kg/m³. For the formation enthalpy at 0 K, the calculation gives 0.36 eV/atom. Its space group is No. 166. For the final energy, the calculation gives -6.988 eV/atom. Its density of states at the Fermi level is 0.8580 states/eV/atom. Its magnetic moment is 2.1607 μB per atom. The crystal system is trigonal.

=====

(8)
TcHg2Ru | PBE | relaxed

Geometry as extended XYZ:
```
4
Lattice="5.085 -0.041 0.000 1.751 4.774 0.000 -3.418 -2.367 2.928" Properties=species:S:1:pos:R:3 pbc="T T T"
Tc 2.542 -0.020 1.464
Ru 0.875 2.387 1.464
Hg 0.000 0.000 0.000
Hg 3.418 2.367 0.000
```

Output
The value obtained for the calculated density is 13980 kg/m³. For the formation enthalpy at 0 K, the calculation gives 0.74 eV/atom. Its space group is No. 139. For the final energy, the calculation gives -4.319 eV/atom. Its density of states at the Fermi level is 0.7155 states/eV/atom. Its magnetic moment is 0.8755 μB per atom. The crystal system is tetragonal.

=====

(9)
Ca2SmReO8 | PBE | relaxed

Geometry as extended XYZ:
```
12
Lattice="5.285 0.004 -0.006 0.038 4.678 0.005 0.000 0.022 6.724" Properties=species:S:1:pos:R:3 pbc="T T T"
Ca 2.662 2.353 1.566
Ca 2.661 2.352 5.156
Sm 0.000 0.011 3.362
O 4.584 1.094 1.414
O 1.565 1.032 0.007
O 3.757 3.672 6.716
O 4.596 1.115 5.287
O 2.342 0.706 3.359
O 0.738 3.610 5.309
O 2.980 3.998 3.364
O 0.727 3.589 1.435
Re 0.000 0.000 0.000
```

Output
The value obtained for the calculated density is 5441 kg/m³. Its space group is No. 2. The value obtained for the raw formation energy is -2.219 eV/atom. For the final energy, the calculation gives -7.289 eV/atom. Its density of states at the Fermi level is 0.0000 states/eV/atom. Its magnetic moment is 0.0000 μB per atom. The crystal system is triclinic.

=====

(10)
FeSb2TePd | PBE | relaxed

Geometry as extended XYZ:
```
5
Lattice="-0.122 4.087 -2.481 -2.763 1.965 3.373 4.246 1.653 2.515" Properties=species:S:1:pos:R:3 pbc="T T T"
Sb -1.382 0.983 1.686
Sb -0.061 2.043 -1.241
Pd 0.681 3.853 1.703
Fe 0.000 0.000 0.000
Te 2.123 0.827 1.258
```

Output
The value obtained for the calculated density is 7441 kg/m³. Its space group is No. 123. The value obtained for the raw formation energy is 0.486 eV/atom. For the final energy, the calculation gives -4.523 eV/atom. Its density of states at the Fermi level is 1.0179 states/eV/atom. Its magnetic moment is 0.1236 μB per atom. The crystal system is tetragonal.

=====

(11)
PmTmCuAg | PBE | relaxed

Geometry as extended XYZ:
```
4
Lattice="5.078 0.000 0.000 2.539 4.398 0.000 2.539 1.466 4.146" Properties=species:S:1:pos:R:3 pbc="T T T"
Pm 0.000 0.000 0.000
Cu 2.539 1.466 1.037
Ag 7.617 4.398 3.110
Tm 5.078 2.932 2.073
```

Output
The value obtained for the calculated density is 8704 kg/m³. For the formation enthalpy at 0 K, the calculation gives -0.23 eV/atom. Its space group is No. 216. For the final energy, the calculation gives -4.276 eV/atom. Its density of states at the Fermi level is 0.8435 states/eV/atom. Its magnetic moment is 0.0000 μB per atom. The crystal system is cubic.

=====

(12)
DyYTl4 | PBE | relaxed

Geometry as extended XYZ:
```
6
Lattice="5.020 -0.001 0.001 -0.001 5.022 0.001 0.007 0.010 7.617" Properties=species:S:1:pos:R:3 pbc="T T T"
Dy 0.009 5.013 3.795
Tl 2.519 5.008 1.899
Tl 0.013 2.502 5.690
Tl 2.519 5.018 5.692
Tl 0.006 2.502 1.899
Y 2.522 2.507 7.604
```

Output
The value obtained for the calculated density is 9244 kg/m³. For the formation enthalpy at 0 K, the calculation gives 0.00 eV/atom. Its space group is No. 12. For the final energy, the calculation gives -3.423 eV/atom. Its density of states at the Fermi level is 0.5613 states/eV/atom. Its magnetic moment is 0.0000 μB per atom. The crystal system is monoclinic.